# CsNaTl2As2, relaxed, DFT PBE-GGA
data_CsNaTl2As2
_cell_length_a 5.137
_cell_length_b 5.137
_cell_length_c 8.450
_cell_angle_alpha 90.00
_cell_angle_beta 90.00
_cell_angle_gamma 120.00
_space_group_name_H-M_alt 'P 1'
_space_group_IT_number 1
loop_
_space_group_symop_operation_xyz
'x,y,z'
loop_
_atom_site_label
_atom_site_fract_x
_atom_site_fract_y
_atom_site_fract_z
_atom_site_occupancy
Cs1 0.000 0.000 0.000 1
Na1 0.000 0.000 0.500 1
Tl1 0.667 0.333 0.356 1
Tl2 0.333 0.667 0.644 1
As1 0.667 0.333 0.706 1
As2 0.333 0.667 0.294 1
# * theoretical density: 6.14 Mg/m³
# * VASP energy: -2.9425 eV/atom
# * symmetry: P-3m1
# * energy relative to the elements: -242 meV per atom